Material: RbBaPmF6
Method: DFT, PBE-GGA
State: optimized geometry

Values from the calculation:
Formation energy from raw total energies, eV/atom: -3.65
Space group: P-31c (163)

Geometry as extended XYZ:
```
18
Lattice="6.850 0.000 0.000 -3.425 5.932 0.000 0.000 0.000 9.960" Properties=species:S:1:pos:R:3 pbc="T T T"
F -1.066 2.292 6.327
F -1.972 3.863 8.612
F 4.332 0.223 3.633
F 4.490 3.640 3.633
F 2.359 3.640 1.347
F -0.907 5.708 6.327
F 1.066 2.292 8.612
F 5.397 2.069 1.347
F 1.452 2.069 3.633
F 1.972 3.863 6.327
F 2.518 0.223 1.347
F 0.907 5.708 8.612
Pm 3.425 1.977 2.490
Pm 0.000 3.955 7.470
Rb 0.000 0.000 0.000
Rb 0.000 0.000 4.980
Ba 0.000 3.955 2.490
Ba 3.425 1.977 7.470
```